*one*
TlSb2SI | PBE | optimized geometry

Cell and atoms, written as CIF:
```
data_TlSb2SI
_chemical_formula_sum 'Tl1 Sb2 S1 I1'
_symmetry_space_group_name_H-M 'P 1'
_symmetry_Int_Tables_number 1
_symmetry_space_group_name_Hall 'P 1'
_cell_length_a 5.812
_cell_length_b 5.812
_cell_length_c 5.831
_cell_angle_alpha 90.00
_cell_angle_beta 90.00
_cell_angle_gamma 90.00
loop_
_atom_site_label
_atom_site_type_symbol
_atom_site_fract_x
_atom_site_fract_y
_atom_site_fract_z
Tl1 Tl 0.000 0.000 0.000
Sb1 Sb 0.000 0.500 0.000
Sb2 Sb 0.500 0.000 0.000
S1 S 0.500 0.500 0.500
I1 I 0.000 0.000 0.500
```

Properties
Calculated volume: 196.9 Å³/f.u.

---

*two*
TlSb2SI | PBE | optimized geometry

Cell and atoms, written as CIF:
```
data_TlSb2SI
_chemical_formula_sum 'Tl1 Sb2 S1 I1'
_symmetry_space_group_name_H-M 'P 1'
_symmetry_Int_Tables_number 1
_symmetry_space_group_name_Hall 'P 1'
_cell_length_a 5.320
_cell_length_b 5.320
_cell_length_c 5.766
_cell_angle_alpha 90.00
_cell_angle_beta 90.00
_cell_angle_gamma 90.00
loop_
_atom_site_label
_atom_site_type_symbol
_atom_site_fract_x
_atom_site_fract_y
_atom_site_fract_z
Tl1 Tl 0.000 0.000 0.000
Sb1 Sb 0.000 0.500 0.500
Sb2 Sb 0.500 0.000 0.500
S1 S 0.500 0.500 0.500
I1 I 0.500 0.500 0.000
```

Properties
Calculated volume: 163.2 Å³/f.u.

---

Which of them is least stable? Easy: *one*.

---

*one*
VSb2SI | PBE | optimized geometry

Cell and atoms, written as CIF:
```
data_VSb2SI
_chemical_formula_sum 'V1 Sb2 S1 I1'
_symmetry_space_group_name_H-M 'P 1'
_symmetry_Int_Tables_number 1
_symmetry_space_group_name_Hall 'P 1'
_cell_length_a 5.179
_cell_length_b 5.179
_cell_length_c 4.967
_cell_angle_alpha 90.00
_cell_angle_beta 90.00
_cell_angle_gamma 90.00
loop_
_atom_site_label
_atom_site_type_symbol
_atom_site_fract_x
_atom_site_fract_y
_atom_site_fract_z
V1 V 0.000 0.000 0.000
Sb1 Sb 0.000 0.500 0.000
Sb2 Sb 0.500 0.000 0.000
S1 S 0.500 0.500 0.500
I1 I 0.000 0.000 0.500
```

Properties
Calculated volume: 133.2 Å³/f.u.

---

*two*
VSb2SI | PBE | optimized geometry

Cell and atoms, written as CIF:
```
data_VSb2SI
_chemical_formula_sum 'V1 Sb2 S1 I1'
_symmetry_space_group_name_H-M 'P 1'
_symmetry_Int_Tables_number 1
_symmetry_space_group_name_Hall 'P 1'
_cell_length_a 5.143
_cell_length_b 5.143
_cell_length_c 5.430
_cell_angle_alpha 90.00
_cell_angle_beta 90.00
_cell_angle_gamma 90.00
loop_
_atom_site_label
_atom_site_type_symbol
_atom_site_fract_x
_atom_site_fract_y
_atom_site_fract_z
V1 V 0.000 0.000 0.000
Sb1 Sb 0.000 0.500 0.500
Sb2 Sb 0.500 0.000 0.500
S1 S 0.500 0.500 0.500
I1 I 0.500 0.500 0.000
```

Properties
Calculated volume: 143.6 Å³/f.u.

---

Which of them is least stable? Easy: *two*.

---

*one*
Sb2WSI | PBE | optimized geometry

Cell and atoms, written as CIF:
```
data_Sb2WSI
_chemical_formula_sum 'Sb2 W1 S1 I1'
_symmetry_space_group_name_H-M 'P 1'
_symmetry_Int_Tables_number 1
_symmetry_space_group_name_Hall 'P 1'
_cell_length_a 5.120
_cell_length_b 5.120
_cell_length_c 5.373
_cell_angle_alpha 90.00
_cell_angle_beta 90.00
_cell_angle_gamma 90.00
loop_
_atom_site_label
_atom_site_type_symbol
_atom_site_fract_x
_atom_site_fract_y
_atom_site_fract_z
Sb1 Sb 0.000 0.500 0.000
Sb2 Sb 0.500 0.000 0.000
W1 W 0.000 0.000 0.500
S1 S 0.500 0.500 0.000
I1 I 0.500 0.500 0.500
```

Properties
Calculated volume: 140.9 Å³/f.u.

---

*two*
Sb2WSI | PBE | optimized geometry

Cell and atoms, written as CIF:
```
data_Sb2WSI
_chemical_formula_sum 'Sb2 W1 S1 I1'
_symmetry_space_group_name_H-M 'P 1'
_symmetry_Int_Tables_number 1
_symmetry_space_group_name_Hall 'P 1'
_cell_length_a 5.275
_cell_length_b 5.275
_cell_length_c 5.208
_cell_angle_alpha 90.00
_cell_angle_beta 90.00
_cell_angle_gamma 90.00
loop_
_atom_site_label
_atom_site_type_symbol
_atom_site_fract_x
_atom_site_fract_y
_atom_site_fract_z
Sb1 Sb 0.000 0.500 0.000
Sb2 Sb 0.500 0.000 0.000
W1 W 0.000 0.000 0.000
S1 S 0.500 0.500 0.500
I1 I 0.000 0.000 0.500
```

Properties
Calculated volume: 144.9 Å³/f.u.

---

Which of them is least stable? Easy: *one*.

---

*one*
YSbSI2 | PBE | optimized geometry

Cell and atoms, written as CIF:
```
data_YSbSI2
_chemical_formula_sum 'Y1 Sb1 S1 I2'
_symmetry_space_group_name_H-M 'P 1'
_symmetry_Int_Tables_number 1
_symmetry_space_group_name_Hall 'P 1'
_cell_length_a 5.450
_cell_length_b 5.450
_cell_length_c 5.334
_cell_angle_alpha 90.00
_cell_angle_beta 90.00
_cell_angle_gamma 90.00
loop_
_atom_site_label
_atom_site_type_symbol
_atom_site_fract_x
_atom_site_fract_y
_atom_site_fract_z
Y1 Y 0.000 0.000 0.000
Sb1 Sb 0.500 0.500 0.000
S1 S 0.500 0.500 0.500
I1 I 0.000 0.500 0.500
I2 I 0.500 0.000 0.500
```

Properties
Calculated volume: 158.4 Å³/f.u.

---

*two*
YSbSI2 | PBE | optimized geometry

Cell and atoms, written as CIF:
```
data_YSbSI2
_chemical_formula_sum 'Y1 Sb1 S1 I2'
_symmetry_space_group_name_H-M 'P 1'
_symmetry_Int_Tables_number 1
_symmetry_space_group_name_Hall 'P 1'
_cell_length_a 5.837
_cell_length_b 5.837
_cell_length_c 6.325
_cell_angle_alpha 90.00
_cell_angle_beta 90.00
_cell_angle_gamma 90.00
loop_
_atom_site_label
_atom_site_type_symbol
_atom_site_fract_x
_atom_site_fract_y
_atom_site_fract_z
Y1 Y 0.000 0.000 0.000
Sb1 Sb 0.000 0.000 0.500
S1 S 0.500 0.500 0.500
I1 I 0.000 0.500 0.000
I2 I 0.500 0.000 0.000
```

Properties
Calculated volume: 215.5 Å³/f.u.

---

Which of them is least stable? Easy: *one*.

---

*one*
ScSI3 | PBE | optimized geometry

Cell and atoms, written as CIF:
```
data_ScSI3
_chemical_formula_sum 'Sc1 S1 I3'
_symmetry_space_group_name_H-M 'P 1'
_symmetry_Int_Tables_number 1
_symmetry_space_group_name_Hall 'P 1'
_cell_length_a 5.729
_cell_length_b 5.729
_cell_length_c 5.729
_cell_angle_alpha 90.00
_cell_angle_beta 90.00
_cell_angle_gamma 90.00
loop_
_atom_site_label
_atom_site_type_symbol
_atom_site_fract_x
_atom_site_fract_y
_atom_site_fract_z
Sc1 Sc 0.000 0.000 0.000
S1 S 0.500 0.500 0.500
I1 I 0.000 0.000 0.500
I2 I 0.000 0.500 0.000
I3 I 0.500 0.000 0.000
```

Properties
Calculated volume: 188.1 Å³/f.u.

---

*two*
ScSI3 | PBE | optimized geometry

Cell and atoms, written as CIF:
```
data_ScSI3
_chemical_formula_sum 'Sc1 S1 I3'
_symmetry_space_group_name_H-M 'P 1'
_symmetry_Int_Tables_number 1
_symmetry_space_group_name_Hall 'P 1'
_cell_length_a 5.555
_cell_length_b 5.555
_cell_length_c 5.555
_cell_angle_alpha 90.00
_cell_angle_beta 90.00
_cell_angle_gamma 90.00
loop_
_atom_site_label
_atom_site_type_symbol
_atom_site_fract_x
_atom_site_fract_y
_atom_site_fract_z
Sc1 Sc 0.000 0.000 0.000
S1 S 0.500 0.500 0.500
I1 I 0.000 0.500 0.500
I2 I 0.500 0.000 0.500
I3 I 0.500 0.500 0.000
```

Properties
Calculated volume: 171.4 Å³/f.u.

---

Which of them is least stable? Easy: *two*.

---

*one*
ScTeSI2 | PBE | optimized geometry

Cell and atoms, written as CIF:
```
data_ScTeSI2
_chemical_formula_sum 'Sc1 Te1 S1 I2'
_symmetry_space_group_name_H-M 'P 1'
_symmetry_Int_Tables_number 1
_symmetry_space_group_name_Hall 'P 1'
_cell_length_a 5.659
_cell_length_b 5.659
_cell_length_c 5.745
_cell_angle_alpha 90.00
_cell_angle_beta 90.00
_cell_angle_gamma 90.00
loop_
_atom_site_label
_atom_site_type_symbol
_atom_site_fract_x
_atom_site_fract_y
_atom_site_fract_z
Sc1 Sc 0.000 0.000 0.000
Te1 Te 0.000 0.000 0.500
S1 S 0.500 0.500 0.500
I1 I 0.000 0.500 0.000
I2 I 0.500 0.000 0.000
```

Properties
Calculated volume: 184.0 Å³/f.u.

---

*two*
ScTeSI2 | PBE | optimized geometry

Cell and atoms, written as CIF:
```
data_ScTeSI2
_chemical_formula_sum 'Sc1 Te1 S1 I2'
_symmetry_space_group_name_H-M 'P 1'
_symmetry_Int_Tables_number 1
_symmetry_space_group_name_Hall 'P 1'
_cell_length_a 5.500
_cell_length_b 5.500
_cell_length_c 5.300
_cell_angle_alpha 90.00
_cell_angle_beta 90.00
_cell_angle_gamma 90.00
loop_
_atom_site_label
_atom_site_type_symbol
_atom_site_fract_x
_atom_site_fract_y
_atom_site_fract_z
Sc1 Sc 0.000 0.000 0.000
Te1 Te 0.500 0.500 0.000
S1 S 0.500 0.500 0.500
I1 I 0.000 0.500 0.500
I2 I 0.500 0.000 0.500
```

Properties
Calculated volume: 160.3 Å³/f.u.

---

Which of them is least stable? Easy: *two*.